No. 1
This record from the Alexandria database describes crystalline CdIn2Sb at its relaxed geometry. The functional is PBE.

Its formation energy (no corrections) is 0.045 eV/atom.

The structure in POSCAR format:
```
CdIn2Sb
1.0
-0.098 -1.556 -5.812
2.980 -2.120 -4.779
-1.095 -5.640 0.181
Cd In Sb
1 2 1
direct
0.249 0.249 0.257
0.751 0.751 0.759
0.994 0.994 0.997
0.506 0.506 0.487
```

No. 2
This record from the Alexandria database describes crystalline Ba2SmAuO4 at its relaxed geometry. The functional is PBE.

Its formation energy (no corrections) is -2.061 eV/atom.

The structure in POSCAR format:
```
Ba2SmAuO4
1.0
6.573 -0.706 -1.081
-3.439 5.646 1.081
-3.439 -1.282 5.603
O Ba Sm Au
4 2 1 1
direct
0.948 0.584 0.097
0.487 0.903 0.851
0.513 0.365 0.416
0.052 0.149 0.635
0.500 0.750 0.250
0.000 0.000 0.000
0.500 0.250 0.750
0.000 0.500 0.500
```

No. 3
This record from the Alexandria database describes crystalline BaRe2Ru at its relaxed geometry. The functional is PBE.

The energy relative to the elements comes out at 1.450 eV/atom.

The structure in POSCAR format:
```
BaRe2Ru
1.0
-1.576 -0.723 2.463
0.786 -4.529 -0.827
4.528 0.244 2.968
Ru Re Ba
1 2 1
direct
0.500 0.000 0.500
0.000 0.000 0.000
0.500 0.500 0.000
0.000 0.500 0.500
```

In eV per formula unit, the final energy values for the records above are, in order, -10.33, -48.16, -30.30.